DFT (PBE with a Hubbard U) results for K3MnCl2F6 after structural relaxation.

abc: 5.8740 6.1013 7.4820
angles: 114.06 90.59 90.00
Closest atoms and distances in Å follow each position.
Atoms (fractional coordinates):
K  0.5000  0.5000  0.5000  4 F 2.69-2.77
K  0.5000  0.0000  0.5000  4 F 2.69-2.77
K  0.0000  0.5000  0.0000  4 F 2.74
F  0.6867  0.8922  0.7845  1 Mn 1.85
F  0.6696  0.2791  0.1238  1 Mn 1.86
F  0.6696  0.8447  0.1238  1 Mn 1.86
F  0.3304  0.1553  0.8762  1 Mn 1.86
F  0.3133  0.1078  0.2155  1 Mn 1.85
F  0.3304  0.7209  0.8762  1 Mn 1.86
Mn  0.5000  0.0000  0.0000  6 F 1.85-1.86
Cl  0.0197  0.7350  0.4699  1 F 2.92, 2 Cl 3.09, 3 K 3.21
Cl  0.9803  0.2650  0.5301  1 F 2.92, 2 Cl 3.09, 3 K 3.21

Values from the calculation:
Its space group is C2/m (12). The uncorrected energy comes out at -4.27 eV/atom. As for the theoretical density: 2.4 Mg/m³.